ScHgPb2 | GGA-PBE | optimized geometry

a b c (Å): 3.3002 5.4587 5.9576
angles (deg): 90.00 92.59 90.00
Closest atoms and distances in Å follow each position.
Element x y z (fractional)
Sc 0.0000 0.0000 0.0000  4 Pb 3.25, 2 Sc 3.30, 4 Hg 3.34-3.47
Hg 0.5000 0.0000 0.5000  4 Pb 3.22, 2 Hg 3.30, 4 Sc 3.34-3.47
Pb 0.2848 0.5000 0.7565  6 Pb 3.17-3.53, 2 Hg 3.22, 2 Sc 3.25
Pb 0.7152 0.5000 0.2435  6 Pb 3.17-3.53, 2 Hg 3.22, 2 Sc 3.25

Computed properties:
E ... -3.5566 eV/atom
Formation energy ... -0.18 eV/f.u.
Magnetic moment ... 0.41 μB per formula unit